RbZrRh3: relaxed, PBE-GGA.

Cell lengths 4.987, 4.987, 4.987 Å; angles 90.00, 90.00, 90.00 degrees
Fractional coordinates of all 5 atoms:
Rh1 0.000 0.500 0.000
Rh2 0.000 0.000 0.500
Rh3 0.500 0.000 0.000
Rb1 0.500 0.500 0.500
Zr1 0.000 0.000 0.000

Values from the calculation:
Energy above the lowest structure with this stoichiometry in eV/atom: 0.000
N(E_F) in states/eV per cell: 5.3
Crystal system: cubic
E_tot in eV/atom: -5.63

RbZr3Rh: relaxed, PBE-GGA.

Cell lengths 4.941, 4.941, 4.941 Å; angles 90.00, 90.00, 90.00 degrees
Fractional coordinates of all 5 atoms:
Rh1 0.500 0.500 0.500
Rb1 0.000 0.000 0.000
Zr1 0.000 0.500 0.000
Zr2 0.000 0.000 0.500
Zr3 0.500 0.000 0.000

Values from the calculation:
Energy above the lowest structure with this stoichiometry in eV/atom: 1.642
N(E_F) in states/eV per cell: 6.2
Crystal system: cubic
E_tot in eV/atom: -4.64

Rb3ZrRh: relaxed, PBE-GGA.

Cell lengths 6.248, 6.248, 6.248 Å; angles 90.00, 90.00, 90.00 degrees
Fractional coordinates of all 5 atoms:
Rh1 0.000 0.000 0.000
Rb1 0.000 0.500 0.000
Rb2 0.000 0.000 0.500
Rb3 0.500 0.000 0.000
Zr1 0.500 0.500 0.500

Values from the calculation:
Energy above the lowest structure with this stoichiometry in eV/atom: 0.000
N(E_F) in states/eV per cell: 14.4
Crystal system: cubic
E_tot in eV/atom: -2.38

- Look up the N(E_F) of the third one.
  14.4 states/eV per cell

- Which of these has the highest N(E_F)?
  Rb3ZrRh